Version w
## HgPPtO (PBE)

Data for an optimized crystal structure of HgPPtO. Values from VASP.

Quantum ESPRESSO input file:
```
&SYSTEM
  ibrav = 0, nat = 8, ntyp = 4
/
ATOMIC_SPECIES
Hg 200.59 Hg.upf
P 30.97 P.upf
Pt 195.08 Pt.upf
O 16.00 O.upf
CELL_PARAMETERS angstrom
3.292 0.000 0.000
0.000 6.583 0.000
0.000 0.000 6.890
ATOMIC_POSITIONS crystal
Hg 0.000 0.173 0.000
Hg 0.000 0.827 0.500
P 0.000 0.193 0.376
P 0.000 0.807 0.876
Pt 0.500 0.357 0.538
Pt 0.500 0.643 0.038
O 0.500 0.384 0.826
O 0.500 0.616 0.326
```

Version x
## HgPPtO (PBE)

Data for an optimized crystal structure of HgPPtO. Values from VASP.

Quantum ESPRESSO input file:
```
&SYSTEM
  ibrav = 0, nat = 8, ntyp = 4
/
ATOMIC_SPECIES
Hg 200.59 Hg.upf
P 30.97 P.upf
Pt 195.08 Pt.upf
O 16.00 O.upf
CELL_PARAMETERS angstrom
4.347 0.000 0.000
0.000 4.347 0.000
0.000 0.000 8.545
ATOMIC_POSITIONS crystal
Hg 0.250 0.750 0.000
Hg 0.750 0.250 0.000
P 0.250 0.250 0.184
P 0.750 0.750 0.816
Pt 0.250 0.250 0.443
Pt 0.750 0.750 0.557
O 0.250 0.750 0.500
O 0.750 0.250 0.500
```

Best to worst by energy: version w, version x.